(1)
Compound: CsSrTcS2
Source: Alexandria
Functional: PBE-GGA
Structure: optimized geometry

Cell lengths 5.755, 5.755, 5.989 Å; angles 90.00, 90.00, 90.00 degrees
Fractional positions:
Cs 0.000 0.000 0.000
Sr 0.500 0.500 0.500
Tc 0.500 0.500 0.000
S 0.000 0.500 0.500
S 0.500 0.000 0.500

Results
space-group type: P4/mmm, No. 123
ΔE_f (raw): 0.46 eV per atom
V: 39.7 A^3/atom
M_tot: 5.853 μB/f.u.



(2)
Compound: Ti2AlRh
Source: Alexandria
Functional: PBE-GGA
Structure: optimized geometry

Cell lengths 3.892, 3.892, 4.044 Å; angles 90.00, 90.00, 90.00 degrees
Fractional positions:
Ti 0.000 0.500 0.000
Ti 0.500 0.000 0.000
Al 0.000 0.000 0.500
Rh 0.500 0.500 0.500

Results
space-group type: P4/mmm, No. 123
energy of formation: -0.57 eV per atom
V: 15.3 A^3/atom
M_tot: 0.002 μB/f.u.